{"formula": "TaFeTc2", "functional": "PBE", "state": "optimized geometry", "cell": [[3.127, 0.000, 0.000], [0.000, 3.127, 0.000], [0.000, 0.000, 6.029]], "species": ["Ta", "Fe", "Tc", "Tc"], "frac_coords": [[0.000, 0.000, 0.000], [0.500, 0.500, 0.761], [0.000, 0.000, 0.524], [0.500, 0.500, 0.272]], "dft_energy_ev_per_cell": -41.20, "delta_e_f_mev_per_atom": -38, "spacegroup": "P4mm (99)", "mass_density_g_cm3": 12.19}

---

{"formula": "Ta2FeTc", "functional": "PBE", "state": "optimized geometry", "cell": [[3.187, 0.000, 0.000], [0.000, 3.187, 0.000], [0.000, 0.000, 6.175]], "species": ["Ta", "Ta", "Fe", "Tc"], "frac_coords": [[0.000, 0.000, 0.000], [0.500, 0.500, 0.287], [0.500, 0.500, 0.768], [0.000, 0.000, 0.528]], "dft_energy_ev_per_cell": -42.93, "delta_e_f_mev_per_atom": -99, "spacegroup": "P4mm (99)", "mass_density_g_cm3": 13.65}

---

{"formula": "TaFeTc2", "functional": "PBE", "state": "optimized geometry", "cell": [[4.333, 0.000, 0.000], [0.000, 4.333, 0.000], [0.000, 0.000, 3.161]], "species": ["Ta", "Fe", "Tc", "Tc"], "frac_coords": [[0.000, 0.000, 0.000], [0.500, 0.500, 0.000], [0.000, 0.500, 0.500], [0.500, 0.000, 0.500]], "dft_energy_ev_per_cell": -41.52, "delta_e_f_mev_per_atom": -118, "spacegroup": "P4/mmm (123)", "mass_density_g_cm3": 12.11}

---

{"formula": "TaFeTc2", "functional": "PBE", "state": "optimized geometry", "cell": [[2.713, 0.000, 0.000], [0.000, 2.713, 0.000], [0.000, 0.000, 7.928]], "species": ["Ta", "Fe", "Tc", "Tc"], "frac_coords": [[0.000, 0.000, 0.000], [0.000, 0.000, 0.500], [0.500, 0.500, 0.283], [0.500, 0.500, 0.717]], "dft_energy_ev_per_cell": -40.79, "delta_e_f_mev_per_atom": 65, "spacegroup": "P4/mmm (123)", "mass_density_g_cm3": 12.32}

---

{"formula": "TaFeTc2", "functional": "PBE", "state": "optimized geometry", "cell": [[2.755, 0.000, 0.000], [0.000, 2.755, 0.000], [0.000, 0.000, 7.692]], "species": ["Ta", "Fe", "Tc", "Tc"], "frac_coords": [[0.000, 0.000, 0.000], [0.500, 0.500, 0.747], [0.000, 0.000, 0.532], [0.500, 0.500, 0.285]], "dft_energy_ev_per_cell": -40.74, "delta_e_f_mev_per_atom": 78, "spacegroup": "P4mm (99)", "mass_density_g_cm3": 12.31}

---

{"formula": "Ta2FeTc", "functional": "PBE", "state": "optimized geometry", "cell": [[6.293, 0.000, 0.000], [0.000, 6.293, 0.000], [0.000, 0.000, 6.293]], "species": ["Ta", "Ta", "Ta", "Ta", "Ta", "Ta", "Ta", "Ta", "Fe", "Fe", "Fe", "Fe", "Tc", "Tc", "Tc", "Tc"], "frac_coords": [[0.000, 0.000, 0.000], [0.000, 0.500, 0.500], [0.250, 0.250, 0.250], [0.250, 0.750, 0.750], [0.500, 0.000, 0.500], [0.500, 0.500, 0.000], [0.750, 0.250, 0.750], [0.750, 0.750, 0.250], [0.000, 0.000, 0.500], [0.000, 0.500, 0.000], [0.500, 0.000, 0.000], [0.500, 0.500, 0.500], [0.250, 0.250, 0.750], [0.250, 0.750, 0.250], [0.750, 0.250, 0.250], [0.750, 0.750, 0.750]], "dft_energy_ev_per_cell": -170.40, "delta_e_f_mev_per_atom": -17, "spacegroup": "F-43m (216)", "mass_density_g_cm3": 13.74}